First-principles (GGA+U) data for a relaxed structure of TiCoO2, as listed in the Alexandria database.

Properties
- total energy (eV/atom) = -7.396
- DOS at the Fermi energy (states/eV/f.u.) = 3.2
- space group = I-42d (122)

```
TiCoO2
1.0
4.516 0.000 0.000
0.000 4.516 0.000
2.258 2.258 4.796
Co O Ti
2 4 2
Cartesian
0.000 0.000 0.000
4.516 2.258 2.398
3.294 1.129 1.199
1.222 3.387 1.199
3.387 3.481 3.597
5.646 5.552 3.597
2.258 2.258 0.000
2.258 4.516 2.398
```